Density functional theory data (PBE-GGA) for crystalline LiDy2Pa at its relaxed geometry.

## Properties
**ΔH_f (0 K)**: 131 meV/atom
**Offset from the most stable computed form**: 0.0 meV per atom

Cell: 3.4071 3.4071 9.2272 Å, 90.00 90.00 90.00°
Closest atoms and distances in Å follow each position.
Fractional positions:
Pa 0.5000 0.5000 0.5000  8 Dy 3.34, 4 Pa 3.41
Dy 0.0000 0.0000 0.2489  4 Li 3.33, 4 Pa 3.34, 4 Dy 3.41
Dy 0.0000 0.0000 0.7511  4 Li 3.33, 4 Pa 3.34, 4 Dy 3.41
Li 0.5000 0.5000 0.0000  8 Dy 3.33, 4 Li 3.41

Density functional theory data (PBE-GGA) for crystalline MnFeSi2 at its relaxed geometry.

## Properties
**ΔE_f (raw)**: -0.300 eV/atom

Cell: 3.0223 3.0223 5.0436 Å, 90.00 90.00 90.00°
Closest atoms and distances in Å follow each position.
Fractional positions:
Si 0.0000 0.0000 0.9824  4 Mn 2.37, 2 Fe 2.45-2.60, 4 Si 2.58
Si 0.5000 0.5000 0.2693  4 Fe 2.36, 2 Mn 2.46-2.58, 4 Si 2.58
Mn 0.5000 0.5000 0.7809  6 Si 2.37-2.58
Fe 0.0000 0.0000 0.4675  6 Si 2.36-2.60

What total magnetic moment values result from the calculations? In sequence: 0.00, 2.11 Bohr magnetons per cell.
What DOS(E_F) values result from the calculations? In sequence: 3.98, 2.77 states/eV/f.u..